# ZnFe2Cl6 GGA-PBE relaxed
data_ZnFe2Cl6
_chemical_formula_sum 'Zn2 Fe4 Cl12'
_space_group_name_H-M_alt 'C 1 2/m 1'
_space_group_IT_number 12
_space_group_name_Hall '-C 2y'
_cell_length_a 6.079
_cell_length_b 10.521
_cell_length_c 5.680
_cell_angle_alpha 90.00
_cell_angle_beta 90.01
_cell_angle_gamma 90.00
loop_
_atom_site_label
_atom_site_type_symbol
_atom_site_fract_x
_atom_site_fract_y
_atom_site_fract_z
Zn1 Zn 0.000 0.000 0.000
Fe1 Fe 0.000 0.334 0.500
Cl1 Cl 0.163 0.500 0.748
Cl2 Cl 0.169 0.169 0.747
# E_tot, eV per atom: -3.97